# K4Pu3MgO12 PBE-GGA optimized geometry
# **Crystal system**: cubic
# **Total magnetization**: 6.00 μB/f.u.
# **Formation energy without anion corrections**: -2.42 eV per atom
data_K4Pu3MgO12
_cell_length_a 8.4483
_cell_length_b 8.4483
_cell_length_c 8.4483
_cell_angle_alpha 90.00
_cell_angle_beta 90.00
_cell_angle_gamma 90.00
_symmetry_space_group_name_H-M 'I m -3 m'
_symmetry_Int_Tables_number 229
_symmetry_space_group_name_Hall '-I 4 2 3'
loop_
_atom_site_label
_atom_site_fract_x
_atom_site_fract_y
_atom_site_fract_z
_atom_site_occupancy
K1 0.2500 0.2500 0.2500 1
Pu1 0.0000 0.0000 0.5000 1
Mg1 0.0000 0.0000 0.0000 1
O1 0.0000 0.0000 0.2661 1
O2 0.0000 0.2500 0.5000 1